{"formula": "InTc2Mo", "functional": "PBEsol", "state": "relaxed", "space_group": "R-3m, No. 166", "delta_e_f_mev_per_atom": 272, "m_tot_mub_per_cell": 0.0, "cell": [[-1.326, 0.517, 2.484], [-2.546, -1.192, 0.538], [2.768, -7.254, 4.638]], "species": ["Tc", "Tc", "Mo", "In"], "fractional_positions": [[0.745, 0.745, 0.765], [0.255, 0.255, 0.235], [0.000, 0.000, 0.000], [0.500, 0.500, 0.500]]}